Density functional theory data (PBE-GGA) for a geometry-optimized PrTa2H8 structure.

Unit cell a=4.933 b=4.933 c=4.785 alpha=90.05 beta=90.05 gamma=121.05
Fractional positions:
Pr1 0.000 0.000 0.000
Ta1 0.321 0.673 0.500
Ta2 0.673 0.321 0.500
H1 0.000 0.545 0.783
H2 0.220 0.993 0.500
H3 0.492 0.492 0.242
H4 0.494 0.494 0.758
H5 0.544 0.998 0.217
H6 0.545 0.000 0.783
H7 0.993 0.220 0.500
H8 0.998 0.544 0.217

Values from the calculation:
symmetry = Cm (8)
Fermi-level density of states = 2.62 states/eV per cell
electronic total energy = -5.248 eV per atom

---

Density functional theory data (PBE-GGA) for a geometry-optimized PrTaH structure.

Unit cell a=11.504 b=3.187 c=3.187 alpha=63.62 beta=90.00 gamma=90.00
Fractional positions:
Pr1 0.153 0.000 0.000
Pr2 0.847 0.000 0.000
Ta1 0.387 0.412 0.412
Ta2 0.613 0.412 0.412
H1 0.000 0.338 0.338
H2 0.500 0.083 0.083

Values from the calculation:
symmetry = Amm2 (38)
Fermi-level density of states = 4.02 states/eV per cell
electronic total energy = -6.353 eV per atom

---

Density functional theory data (PBE-GGA) for a geometry-optimized TbPr2H structure.

Unit cell a=9.123 b=9.123 c=9.123 alpha=23.48 beta=23.48 gamma=23.48
Fractional positions:
Tb1 0.000 0.000 0.000
Pr1 0.223 0.223 0.223
Pr2 0.777 0.777 0.777
H1 0.500 0.500 0.500

Values from the calculation:
excess energy over the best structure of this formula in the dataset = 0.0 meV/atom
symmetry = R-3m (166)
Fermi-level density of states = 2.66 states/eV per cell

---

Density functional theory data (PBE-GGA) for a geometry-optimized TbPr2H structure.

Unit cell a=3.472 b=3.472 c=8.702 alpha=90.00 beta=90.00 gamma=90.00
Fractional positions:
Tb1 0.000 0.000 0.000
Pr1 0.500 0.500 0.309
Pr2 0.500 0.500 0.691
H1 0.000 0.000 0.500

Values from the calculation:
excess energy over the best structure of this formula in the dataset = 231.4 meV/atom
symmetry = P4/mmm (123)
Fermi-level density of states = 4.09 states/eV per cell